Material: TbMg
Method: DFT, PBE-GGA
State: optimized geometry

Values from the calculation:
- SG = P2_1/m (11)
- total DFT energy (no corrections) (eV/atom) = -3.08
- magnetization (μB/atom) = 0.00

Cell: 8.8077 7.1877 5.4278 Å, 90.00 90.00 101.77°
Closest atoms and distances in Å follow each position.
Atoms (fractional coordinates):
Mg (0.9839, 0.5109, 0.0000)  6 Mg 3.25-3.45, 5 Tb 3.26-3.46
Mg (0.6634, 0.6679, 0.0000)  4 Mg 3.25-3.36, 7 Tb 3.35-3.55
Mg (0.9957, 0.9825, 0.0000)  8 Mg 3.25-3.37, 3 Tb 3.31-3.36
Mg (0.2254, 0.0543, 0.5000)  4 Mg 3.25-3.36, 7 Tb 3.35-3.55
Mg (0.9050, 0.2113, 0.5000)  6 Mg 3.25-3.45, 5 Tb 3.26-3.46
Mg (0.8932, 0.7397, 0.5000)  8 Mg 3.25-3.37, 3 Tb 3.31-3.36
Tb (0.6793, 0.1654, 0.0000)  6 Mg 3.26-3.64, 6 Tb 3.38-3.61
Tb (0.3174, 0.3278, 0.0000)  5 Mg 3.35-3.50, 7 Tb 3.41-3.61
Tb (0.3274, 0.8291, 0.0000)  5 Mg 3.33-3.40, 7 Tb 3.38-3.60
Tb (0.5714, 0.3945, 0.5000)  5 Mg 3.35-3.50, 7 Tb 3.41-3.61
Tb (0.2095, 0.5568, 0.5000)  6 Mg 3.26-3.64, 6 Tb 3.38-3.61
Tb (0.5614, 0.8932, 0.5000)  5 Mg 3.33-3.40, 7 Tb 3.38-3.60

---

Material: FeHg2H16C26Se6N14
Method: DFT, PBE-GGA
State: optimized geometry

Values from the calculation:
- SG = P-1 (2)
- total DFT energy (no corrections) (eV/atom) = -6.61
- magnetization (μB/atom) = 0.00

Cell: 8.3865 9.1981 13.0180 Å, 101.64 105.50 92.05°
Closest atoms and distances in Å follow each position.
Atoms (fractional coordinates):
C (0.5381, 0.8866, 0.0968)  2 C 1.40, 1 N 1.42
C (0.6075, 0.7505, 0.0971)  1 H 1.09
C (0.0017, 0.9630, 0.1279)  2 C 1.40, 1 N 1.41
C (0.5872, 0.6724, 0.1741)  1 H 1.09
C (0.4566, 0.9422, 0.1750)  1 H 1.09
C (0.0407, 0.8442, 0.1795)  1 H 1.09
C (0.9522, 0.0906, 0.1863)  1 H 1.09
C (0.2531, 0.3488, 0.1938)  1 N 1.18
C (0.4481, 0.8582, 0.2511)  1 H 1.09
C (0.0355, 0.8582, 0.2864)  1 H 1.09
C (0.9503, 0.0962, 0.2929)  1 H 1.09
C (0.8605, 0.6722, 0.4374)  1 N 1.18
C (0.6602, 0.1226, 0.4578)  1 N 1.18
C (0.3398, 0.8774, 0.5422)  1 N 1.18
C (0.1395, 0.3278, 0.5626)  1 N 1.18
C (0.0497, 0.9038, 0.7071)  1 H 1.09
C (0.9645, 0.1418, 0.7136)  1 H 1.09
C (0.5519, 0.1418, 0.7489)  1 H 1.09
C (0.7469, 0.6512, 0.8062)  1 N 1.18
C (0.0478, 0.9094, 0.8137)  1 H 1.09
C (0.9593, 0.1558, 0.8205)  1 H 1.09
C (0.5434, 0.0578, 0.8250)  1 H 1.09
C (0.4128, 0.3276, 0.8259)  1 H 1.09
C (0.9983, 0.0370, 0.8721)  2 C 1.40, 1 N 1.41
C (0.3925, 0.2495, 0.9029)  1 H 1.09
C (0.4619, 0.1134, 0.9032)  2 C 1.40, 1 N 1.42
Fe (0.0000, 0.0000, 0.5000)  6 N 1.88-1.99
H (0.6707, 0.7076, 0.0358)  1 C 1.09
H (0.0771, 0.7422, 0.1364)  1 C 1.09
H (0.9181, 0.1844, 0.1483)  1 C 1.09
H (0.4051, 0.0496, 0.1766)  1 C 1.09
H (0.6362, 0.5645, 0.1773)  1 C 1.09
H (0.3904, 0.8986, 0.3160)  1 C 1.09
H (0.0674, 0.7679, 0.3284)  1 C 1.09
H (0.9165, 0.1948, 0.3412)  1 C 1.09
H (0.0835, 0.8052, 0.6588)  1 C 1.09
H (0.9326, 0.2321, 0.6716)  1 C 1.09
H (0.6096, 0.1014, 0.6840)  1 C 1.09
H (0.3638, 0.4355, 0.8227)  1 C 1.09
H (0.5949, 0.9504, 0.8234)  1 C 1.09
H (0.0819, 0.8156, 0.8517)  1 C 1.09
H (0.9229, 0.2578, 0.8636)  1 C 1.09
H (0.3293, 0.2924, 0.9642)  1 C 1.09
Hg (0.4752, 0.5918, 0.3884)  1 N 2.45, 3 Se 2.62-2.70
Hg (0.5248, 0.4082, 0.6116)  1 N 2.45, 3 Se 2.62-2.70
N (0.0196, 0.9448, 0.0217)  1 N 1.27, 1 C 1.41
N (0.5635, 0.9712, 0.0220)  1 N 1.26
N (0.3067, 0.2779, 0.1270)  1 C 1.18
N (0.5101, 0.7257, 0.2503)  2 C 1.34-1.35
N (0.9933, 0.9829, 0.3441)  2 C 1.35-1.36
N (0.9098, 0.7994, 0.4649)  1 C 1.18
N (0.7871, 0.0689, 0.4728)  1 C 1.18
N (0.2129, 0.9311, 0.5272)  1 C 1.18
N (0.0902, 0.2006, 0.5351)  1 C 1.18
N (0.0067, 0.0172, 0.6559)  2 C 1.35-1.36
N (0.4899, 0.2743, 0.7497)  2 C 1.34-1.35
N (0.6933, 0.7221, 0.8730)  1 C 1.18
N (0.4365, 0.0288, 0.9780)  1 N 1.26
N (0.9804, 0.0552, 0.9783)  1 N 1.27, 1 C 1.41
Se (0.1764, 0.4535, 0.3029)  1 C 1.83
Se (0.7703, 0.4802, 0.3959)  1 C 1.81
Se (0.4623, 0.2009, 0.4260)  1 C 1.81
Se (0.5377, 0.7991, 0.5740)  1 C 1.81
Se (0.2297, 0.5198, 0.6041)  1 C 1.81
Se (0.8236, 0.5465, 0.6971)  1 C 1.83

---

Material: Mo4P3W2N3
Method: DFT, PBE-GGA
State: optimized geometry

Values from the calculation:
- SG = C2/c (15)
- total DFT energy (no corrections) (eV/atom) = -9.35
- magnetization (μB/atom) = 0.00

Cell: 5.3120 5.3120 12.5926 Å, 103.30 103.30 59.73°
Closest atoms and distances in Å follow each position.
Atoms (fractional coordinates):
Mo (0.8852, 0.6858, 0.0928)  3 N 2.14-2.26
Mo (0.1949, 0.0631, 0.1049)  3 N 2.17-2.27, 1 P 2.39
Mo (0.9369, 0.8051, 0.3951)  3 N 2.17-2.27, 1 P 2.39
Mo (0.3142, 0.1148, 0.4072)  3 N 2.14-2.26
Mo (0.6858, 0.8852, 0.5928)  3 N 2.14-2.26
Mo (0.0631, 0.1949, 0.6049)  3 N 2.17-2.27, 1 P 2.39
Mo (0.8051, 0.9369, 0.8951)  3 N 2.17-2.27, 1 P 2.39
Mo (0.1148, 0.3142, 0.9072)  3 N 2.14-2.26
N (0.5000, 0.0000, 0.0000)  4 Mo 2.17, 2 W 2.19
N (0.7789, 0.3517, 0.0000)  4 Mo 2.14-2.27, 2 W 2.19-2.22
N (0.2211, 0.6483, 0.0000)  4 Mo 2.14-2.27, 2 W 2.19-2.22
N (0.3517, 0.7789, 0.5000)  4 Mo 2.14-2.27, 2 W 2.19-2.22
N (0.0000, 0.5000, 0.5000)  4 Mo 2.17, 2 W 2.19
N (0.6483, 0.2211, 0.5000)  4 Mo 2.14-2.27, 2 W 2.19-2.22
P (0.5801, 0.7735, 0.2450)  4 Mo 2.39-2.60, 2 W 2.46-2.49
P (0.9467, 0.0533, 0.2500)  2 W 2.46, 4 Mo 2.51-2.53
P (0.2265, 0.4199, 0.2550)  4 Mo 2.39-2.60, 2 W 2.46-2.49
P (0.7735, 0.5801, 0.7450)  4 Mo 2.39-2.60, 2 W 2.46-2.49
P (0.0533, 0.9467, 0.7500)  2 W 2.46, 4 Mo 2.51-2.53
P (0.4199, 0.2265, 0.7550)  4 Mo 2.39-2.60, 2 W 2.46-2.49
W (0.5319, 0.3563, 0.1210)  3 N 2.19-2.22
W (0.6437, 0.4681, 0.3790)  3 N 2.19-2.22
W (0.3563, 0.5319, 0.6210)  3 N 2.19-2.22
W (0.4681, 0.6437, 0.8790)  3 N 2.19-2.22

---

Material: Cs4Si2HgO7
Method: DFT, PBE-GGA
State: optimized geometry

Values from the calculation:
- SG = P-1 (2)
- total DFT energy (no corrections) (eV/atom) = -5.47

Cell: 6.5379 7.3724 7.4678 Å, 113.36 100.98 106.96°
Closest atoms and distances in Å follow each position.
Atoms (fractional coordinates):
Cs (0.9201, 0.4524, 0.2180)  5 O 2.89-3.07
Cs (0.6718, 0.9055, 0.2695)  7 O 2.99-3.32
Cs (0.3282, 0.0945, 0.7305)  7 O 2.99-3.32
Cs (0.0799, 0.5476, 0.7820)  5 O 2.89-3.07
Hg (0.5000, 0.5000, 0.5000)  4 O 2.27-2.28
O (0.0000, 0.0000, 0.0000)  2 Si 1.66
O (0.4498, 0.2024, 0.2090)  1 Si 1.67
O (0.1893, 0.8469, 0.2271)  1 Si 1.61
O (0.1543, 0.2347, 0.4111)  1 Si 1.67
O (0.8457, 0.7653, 0.5889)  1 Si 1.67
O (0.8107, 0.1531, 0.7729)  1 Si 1.61
O (0.5502, 0.7976, 0.7910)  1 Si 1.67
Si (0.2015, 0.0624, 0.2137)  4 O 1.61-1.67
Si (0.7985, 0.9376, 0.7863)  4 O 1.61-1.67

---

Material: GdCl3
Method: DFT, PBE-GGA
State: optimized geometry

Values from the calculation:
- SG = Pnma (62)
- total DFT energy (no corrections) (eV/atom) = -4.76
- magnetization (μB/atom) = 0.00

Cell: 7.1202 8.8225 6.0421 Å, 90.00 90.00 90.00°
Closest atoms and distances in Å follow each position.
Atoms (fractional coordinates):
Cl (0.9625, 0.2500, 0.1456)  2 Gd 2.66-2.68
Cl (0.6676, 0.5661, 0.1622)  2 Gd 2.73-2.81
Cl (0.6676, 0.9339, 0.1622)  2 Gd 2.73-2.81
Cl (0.1676, 0.5661, 0.3378)  2 Gd 2.73-2.81
Cl (0.1676, 0.9339, 0.3378)  2 Gd 2.73-2.81
Cl (0.4625, 0.2500, 0.3544)  2 Gd 2.66-2.68
Cl (0.5375, 0.7500, 0.6456)  2 Gd 2.66-2.68
Cl (0.8324, 0.0661, 0.6622)  2 Gd 2.73-2.81
Cl (0.8324, 0.4339, 0.6622)  2 Gd 2.73-2.81
Cl (0.3324, 0.0661, 0.8378)  2 Gd 2.73-2.81
Cl (0.3324, 0.4339, 0.8378)  2 Gd 2.73-2.81
Cl (0.0375, 0.7500, 0.8544)  2 Gd 2.66-2.68
Gd (0.3747, 0.7500, 0.0457)  6 Cl 2.66-2.81
Gd (0.8747, 0.7500, 0.4543)  6 Cl 2.66-2.81
Gd (0.1253, 0.2500, 0.5457)  6 Cl 2.66-2.81
Gd (0.6253, 0.2500, 0.9543)  6 Cl 2.66-2.81

---

Material: ZnSnMo2
Method: DFT, PBE-GGA
State: optimized geometry

Values from the calculation:
- SG = F-43m (216)
- total DFT energy (no corrections) (eV/atom) = -6.43
- magnetization (μB/atom) = 0.00

Cell: 4.5500 4.5500 4.5500 Å, 60.00 60.00 60.00°
Closest atoms and distances in Å follow each position.
Atoms (fractional coordinates):
Mo (0.0000, 0.0000, 0.0000)  4 Zn 2.79, 4 Mo 2.79
Mo (0.7500, 0.7500, 0.7500)  4 Sn 2.79, 4 Mo 2.79
Sn (0.5000, 0.5000, 0.5000)  4 Zn 2.79, 4 Mo 2.79
Zn (0.2500, 0.2500, 0.2500)  4 Sn 2.79, 4 Mo 2.79

---

Material: KCo3Ge4
Method: DFT, PBE-GGA
State: optimized geometry

Values from the calculation:
- SG = Pm-3m (221)
- total DFT energy (no corrections) (eV/atom) = -4.34
- magnetization (μB/atom) = 0.00

Cell: 5.0946 5.0946 5.0946 Å, 90.00 90.00 90.00°
Closest atoms and distances in Å follow each position.
Atoms (fractional coordinates):
Co (0.5000, 0.5000, 0.0000)  6 Ge 2.55
Co (0.5000, 0.0000, 0.5000)  6 Ge 2.55
Co (0.0000, 0.5000, 0.5000)  6 Ge 2.55
Ge (0.5000, 0.0000, 0.0000)  2 K 2.55, 4 Co 2.55
Ge (0.0000, 0.5000, 0.0000)  2 K 2.55, 4 Co 2.55
Ge (0.0000, 0.0000, 0.5000)  2 K 2.55, 4 Co 2.55
Ge (0.5000, 0.5000, 0.5000)  6 Co 2.55
K (0.0000, 0.0000, 0.0000)  6 Ge 2.55

---

Material: NaHfCdAu
Method: DFT, PBE-GGA
State: optimized geometry

Values from the calculation:
- SG = F-43m (216)
- energy above the most stable polymorph in this dataset (meV/atom) = 0
- total DFT energy (no corrections) (eV/atom) = -3.89
- magnetization (μB/atom) = 0.00

Cell: 4.8621 4.8621 4.8621 Å, 60.00 60.00 60.00°
Closest atoms and distances in Å follow each position.
Atoms (fractional coordinates):
Au (0.7500, 0.7500, 0.7500)  4 Na 2.98, 4 Hf 2.98
Cd (0.2500, 0.2500, 0.2500)  4 Hf 2.98, 4 Na 2.98
Hf (0.0000, 0.0000, 0.0000)  4 Cd 2.98, 4 Au 2.98
Na (0.5000, 0.5000, 0.5000)  4 Au 2.98, 4 Cd 2.98

---

Q: Among the records above, which one has the highest total DFT energy (no corrections)?
A: TbMg

---

Q: What is the formula in the fifth record?
A: GdCl3